20
Lattice="4.025 0.000 0.000 0.000 4.025 0.000 0.000 0.000 20.126" Properties=species:S:1:pos:R:3 comment="MnIn4Pt15 (PBE-GGA, relaxed)" formation_enthalpy_0k_mev_per_atom=-368 mass_density_g_cm3=17.52 pbc="T T T"
Mn 0.000 0.000 0.000
In 0.000 0.000 3.951
In 0.000 0.000 8.029
In 0.000 0.000 12.098
In 0.000 0.000 16.175
Pt 2.013 2.013 0.000
Pt 2.013 2.013 3.935
Pt 2.013 2.013 8.013
Pt 2.013 2.013 12.114
Pt 2.013 2.013 16.192
Pt 2.013 0.000 1.892
Pt 2.013 0.000 5.979
Pt 2.013 0.000 10.063
Pt 2.013 0.000 14.148
Pt 2.013 0.000 18.235
Pt 0.000 2.013 1.892
Pt 0.000 2.013 5.979
Pt 0.000 2.013 10.063
Pt 0.000 2.013 14.148
Pt 0.000 2.013 18.235